A plane-wave DFT calculation with PBE with a Hubbard U was carried out for a relaxed MgV2P2H8O14 crystal.

a b c (Å): 6.3447 6.3447 13.5601
angles (deg): 90.00 90.00 90.00
Space group I4/m (No. 87)
Asymmetric unit:
Mg 0.0000 0.0000 0.0000 (multiplicity 2)
V 0.0000 0.0000 0.2772 (multiplicity 4)
P 0.0000 0.5000 0.2500 (multiplicity 4)
H 0.1334 0.6734 0.4410 (multiplicity 16)
O 0.0000 0.0000 0.1560 (multiplicity 4)
O 0.0192 0.6961 0.3180 (multiplicity 16)
O 0.1790 0.2761 0.0000 (multiplicity 8)

Calculated values
The value obtained for the total energy is -6.300 eV/atom.